Compound: La7Ru2Pb3
Source: Alexandria
Functional: GGA-PBE
Structure: optimized geometry

It has space group Cmmm (No. 65), with a = 5.421 Å, b = 27.133 Å, c = 5.272 Å, α = 90.00°, β = 90.00° and γ = 90.00°. The distinct sites, in fractional coordinates, are La at (0.000, 0.000, 0.000), La at (0.000, 0.093, 0.500), La at (0.000, 0.211, 0.000), La at (0.000, 0.388, 0.000), Ru at (0.000, 0.105, 0.000), Pb at (0.000, 0.306, 0.500) and Pb at (0.000, 0.500, 0.500).

The total DFT energy (no corrections) comes out at -138.42 eV per cell. The density of states at the Fermi level comes out at 0.64 states/eV per atom. The formation energy comes out at -420 meV/atom.

Compound: Pr3InOs
Source: Alexandria
Functional: GGA-PBE
Structure: optimized geometry

It has space group Pm-3m (No. 221), with a = 5.566 Å, b = 5.566 Å, c = 5.566 Å, α = 90.00°, β = 90.00° and γ = 90.00°. The distinct sites, in fractional coordinates, are Pr at (0.000, 0.000, 0.500), In at (0.500, 0.500, 0.500) and Os at (0.000, 0.000, 0.000).

The total DFT energy (no corrections) comes out at -28.33 eV per cell. The offset from the most stable computed form is 217.5 meV per atom. The density of states at the Fermi level comes out at 0.77 states/eV per atom. The formation energy comes out at -4 meV/atom.

Compound: LaRh3
Source: Alexandria
Functional: GGA-PBE
Structure: optimized geometry

It has space group Imm2 (No. 44), with a = 3.060 Å, b = 9.205 Å, c = 5.012 Å, α = 90.00°, β = 90.00° and γ = 90.00°. The distinct sites, in fractional coordinates, are La at (0.000, 0.000, 0.000), Rh at (0.000, 0.240, 0.661) and Rh at (0.000, 0.500, 0.988).

The total DFT energy (no corrections) comes out at -55.73 eV per cell. The density of states at the Fermi level comes out at 1.10 states/eV per atom. The formation energy comes out at -220 meV/atom.

Compound: TbY2Cd2
Source: Alexandria
Functional: GGA-PBE
Structure: optimized geometry

It has space group P2_1/m (No. 11), with a = 3.744 Å, b = 5.360 Å, c = 13.888 Å, α = 90.00°, β = 97.76° and γ = 90.00°. The distinct sites, in fractional coordinates, are Tb at (0.149, 0.250, 0.296), Y at (0.046, 0.750, 0.092), Y at (0.236, 0.750, 0.472), Cd at (0.359, 0.250, 0.717) and Cd at (0.449, 0.750, 0.899).

The total DFT energy (no corrections) comes out at -41.51 eV per cell. The offset from the most stable computed form is 0.0 meV per atom. The density of states at the Fermi level comes out at 1.00 states/eV per atom. The formation energy comes out at -273 meV/atom.

Compound: ScNiPt2
Source: Alexandria
Functional: GGA-PBE
Structure: optimized geometry

It has space group R3m (No. 160, hexagonal axes), with a = 2.8802 Å, b = 2.8802 Å, c = 26.1208 Å, α = 90.00°, β = 90.00° and γ = 120.00°. The distinct sites, in fractional coordinates, are Sc at (0.0000, 0.0000, 0.0000), Ni at (0.0000, 0.0000, 0.7439), Pt at (0.0000, 0.0000, 0.2499) and Pt at (0.0000, 0.0000, 0.4908).

The total DFT energy (no corrections) comes out at -75.46 eV per cell. The density of states at the Fermi level comes out at 0.78 states/eV per atom. The formation energy comes out at -240 meV/atom.

no.,spin magnetization (μB per cell)
1,0.0
2,0.0
3,0.0
4,0.0
5,0.0